Entry 1:
A plane-wave DFT calculation with GGA-PBE was carried out for a relaxed structure of RbZrMn2Ir.

Cell and atoms, written as extended XYZ:
```
5
Lattice="4.508 0.000 0.000 0.000 4.508 0.000 0.000 0.000 5.052" Properties=species:S:1:pos:R:3 pbc="T T T"
Rb 0.000 0.000 0.000
Zr 0.000 0.000 2.526
Mn 0.000 2.254 0.000
Mn 2.254 0.000 0.000
Ir 2.254 2.254 2.526
```

Values from the calculation:
**Energy relative to the elements**: 233.6 kJ/mol of atoms
**Crystal system**: tetragonal

=====

Entry 2:
A plane-wave DFT calculation with GGA-PBE was carried out for a relaxed structure of NaTi2Br.

Cell and atoms, written as extended XYZ:
```
16
Lattice="4.012 0.000 0.000 0.000 4.012 0.000 0.000 0.000 22.240" Properties=species:S:1:pos:R:3 pbc="T T T"
Na 0.000 0.000 0.000
Na 0.000 2.006 5.560
Na 2.006 0.000 16.680
Na 2.006 2.006 11.120
Ti 0.538 1.003 13.900
Ti 1.003 2.544 19.460
Ti 1.003 3.474 8.340
Ti 1.468 1.003 2.780
Ti 2.544 3.009 2.780
Ti 3.009 0.538 8.340
Ti 3.009 1.468 19.460
Ti 3.474 3.009 13.900
Br 0.000 0.000 11.120
Br 0.000 2.006 16.680
Br 2.006 0.000 5.560
Br 2.006 2.006 0.000
```

Values from the calculation:
**Crystal system**: tetragonal
**Energy above the most stable polymorph in this dataset**: 0.0 meV per atom
**Energy relative to the elements, uncorrected**: 436 meV/atom